Density functional theory data (GGA+U) for crystalline Ca3ZnCr3O8 at its relaxed geometry.

Values from the calculation:
Raw total energy   -6.759 eV per atom
Total moment   10.00 Bohr magnetons per cell
Space group   No. 12

Cell lengths 6.205, 6.361, 6.347 Å; angles 119.31, 90.00, 119.20 degrees
Element x y z (fractional)
O1 0.757 0.514 0.729
O2 0.771 0.042 0.296
Ca1 0.000 0.000 0.000
O3 0.729 0.958 0.704
O4 0.229 0.958 0.704
Cr1 0.500 0.000 0.500
Ca2 0.000 0.500 0.000
Cr2 0.000 0.500 0.500
O5 0.757 0.514 0.286
O6 0.243 0.486 0.714
Cr3 0.500 0.500 0.500
Zn1 0.000 0.000 0.500
O7 0.243 0.486 0.271
Ca3 0.500 0.500 0.000
O8 0.271 0.042 0.296